Entry 1:
! meta-GGA SCAN CrHg2W, single point on PBEsol structure; values from VASP
&SYSTEM
  ibrav = 0, nat = 4, ntyp = 3
/
ATOMIC_SPECIES
Cr 52.00 Cr.upf
Hg 200.59 Hg.upf
W 183.84 W.upf
CELL_PARAMETERS angstrom
-0.197 2.307 1.925
-2.643 0.678 1.271
0.926 -4.572 7.929
ATOMIC_POSITIONS crystal
Cr 0.240 0.240 0.280
Hg 0.991 0.991 0.027
Hg 0.755 0.755 0.734
W 0.514 0.514 0.459
! * final energy: -4.0865 Ry per atom
! * total moment: 0.00 μB/f.u.
! * energy of formation from the pure elements: 0.501 eV per atom
! * crystal system: trigonal
! * DOS at the Fermi energy: 0.661 states/eV/atom

---

Entry 2:
! meta-GGA SCAN CrHg2W, single point on PBEsol structure; values from VASP
&SYSTEM
  ibrav = 0, nat = 4, ntyp = 3
/
ATOMIC_SPECIES
Cr 52.00 Cr.upf
Hg 200.59 Hg.upf
W 183.84 W.upf
CELL_PARAMETERS angstrom
4.007 0.000 0.000
0.000 4.007 0.000
-2.004 -2.004 4.203
ATOMIC_POSITIONS crystal
Cr 0.000 0.000 0.000
Hg 0.750 0.250 0.500
Hg 0.250 0.750 0.500
W 0.500 0.500 0.000
! * final energy: -4.0728 Ry per atom
! * total moment: 1.47 μB/f.u.
! * energy of formation from the pure elements: 0.688 eV per atom
! * crystal system: tetragonal
! * DOS at the Fermi energy: 0.357 states/eV/atom

---

Entry 3:
! meta-GGA SCAN CrHg2W, single point on PBEsol structure; values from VASP
&SYSTEM
  ibrav = 0, nat = 4, ntyp = 3
/
ATOMIC_SPECIES
Cr 52.00 Cr.upf
Hg 200.59 Hg.upf
W 183.84 W.upf
CELL_PARAMETERS angstrom
4.058 0.000 0.000
0.000 4.058 0.000
-2.029 -2.029 4.079
ATOMIC_POSITIONS crystal
Cr 0.250 0.750 0.500
Hg 0.000 0.000 0.000
Hg 0.750 0.250 0.500
W 0.500 0.500 0.000
! * final energy: -4.0666 Ry per atom
! * total moment: 2.05 μB/f.u.
! * energy of formation from the pure elements: 0.772 eV per atom
! * crystal system: tetragonal
! * DOS at the Fermi energy: 0.535 states/eV/atom

---

Entry 4:
! meta-GGA SCAN Y2CrHg, single point on PBEsol structure; values from VASP
&SYSTEM
  ibrav = 0, nat = 4, ntyp = 3
/
ATOMIC_SPECIES
Cr 52.00 Cr.upf
Hg 200.59 Hg.upf
Y 88.91 Y.upf
CELL_PARAMETERS angstrom
3.523 0.000 0.000
1.761 3.051 0.000
1.761 1.017 9.000
ATOMIC_POSITIONS crystal
Cr 0.500 0.500 0.500
Hg 0.000 0.000 0.000
Y 0.245 0.245 0.264
Y 0.755 0.755 0.736
! * final energy: -2.6169 Ry per atom
! * total moment: 3.30 μB/f.u.
! * energy of formation from the pure elements: -0.046 eV per atom
! * crystal system: trigonal
! * DOS at the Fermi energy: 0.806 states/eV/atom